No. 1
4
Lattice="-2.979 -3.539 2.286 1.780 -4.788 0.730 1.128 -1.635 4.762" Properties=species:S:1:pos:R:3 comment="CeYInRh PBE optimized geometry" sg=F-43m formation_enthalpy_0k_ev_per_atom=-0.44 pbc="T T T"
Y -0.035 -4.981 3.889
In -0.053 -7.472 5.834
Rh -0.018 -2.491 1.945
Ce 0.000 0.000 0.000

No. 2
4
Lattice="10.131 0.000 0.000 9.523 3.458 0.000 9.523 1.675 3.025" Properties=species:S:1:pos:R:3 comment="Li2YPb PBE optimized geometry" sg=R3m formation_enthalpy_0k_ev_per_atom=-0.06 pbc="T T T"
Pb 14.383 2.531 1.491
Li 0.149 0.026 0.015
Li 21.926 3.858 2.273
Y 7.308 1.286 0.758

No. 3
4
Lattice="-4.038 0.761 0.110 -0.663 -3.816 2.040 2.632 2.158 4.891" Properties=species:S:1:pos:R:3 comment="NdDyGeAu PBE optimized geometry" sg=Amm2 formation_enthalpy_0k_ev_per_atom=-0.81 e_above_lowest_polymorph_ev_per_fu=0.000 pbc="T T T"
Au 0.515 2.131 4.153
Ge -2.244 -1.085 1.937
Nd -1.912 0.288 4.613
Dy 0.166 0.687 1.339